This record from the Alexandria database describes an optimized crystal structure of HgPb2. The functional is GGA-PBEsol.

Output
calculated formation energy	0.02	eV/atom
excess energy over the best structure of this formula in the dataset	0.08	eV per formula unit
total moment	0.0	μB/cell
uncorrected energy	-2.8306	eV per atom

Cell lengths 12.486, 3.402, 7.973 Å; angles 90.00, 102.92, 90.00 degrees
Space group Cm (No. 8)
Inequivalent atoms, fractional coordinates:
Hg: 0.000 0.000 0.000 (multiplicity 2)
Hg: 0.180 0.500 0.344 (multiplicity 2)
Pb: 0.062 0.000 0.611 (multiplicity 2)
Pb: 0.217 0.500 0.965 (multiplicity 2)
Pb: 0.337 0.000 0.676 (multiplicity 2)
Pb: 0.403 0.000 0.274 (multiplicity 2)